A plane-wave DFT calculation with PBE was carried out for Nd2DyCo2B2N3 after structural relaxation.

Cell lengths 10.203, 10.203, 10.203 Å; angles 159.73, 159.73, 28.82 degrees
Element x y z (fractional)
Nd 0.627 0.627 0.000
Co 0.250 0.750 0.500
Dy 0.000 0.000 0.000
N 0.120 0.120 0.000
B 0.196 0.196 0.000
N 0.500 0.500 0.000
N 0.880 0.880 0.000
Nd 0.373 0.373 0.000
Co 0.750 0.250 0.500
B 0.804 0.804 0.000

Summary:
volume: 127.4 Å³ per cell
energy: -77.6 eV for the cell shown